Entry 1:
Below is TbCe2HoSe4 after structural relaxation, with properties calculated at the PBE-GGA level.

Results
* energy relative to the elements, uncorrected: -1.80 eV/atom
* calculated density: 7.608 g cm⁻³
* magnetic moment: 2.07 μB per cell
* space-group type: No. 10

Cell lengths 4.1022, 7.1282, 7.2611 Å; angles 108.98, 90.00, 90.00 degrees
Last column: nearest neighbours and their distance in Å.
Fractional coordinates of all 8 atoms:
Ce: 0.5000 0.0000 0.5000  6 Se 2.97
Ce: 0.0000 0.5000 0.5000  6 Se 2.99
Se: 0.5000 0.2439 0.2372  2 Ho 2.87, 1 Tb 2.89, 3 Ce 2.97-2.99
Se: 0.0000 0.7479 0.2385  1 Ho 2.87, 2 Tb 2.89, 3 Ce 2.97-2.99
Ho: 0.0000 0.0000 0.0000  6 Se 2.87
Tb: 0.5000 0.5000 0.0000  6 Se 2.89
Se: 0.0000 0.2521 0.7615  1 Ho 2.87, 2 Tb 2.89, 3 Ce 2.97-2.99
Se: 0.5000 0.7561 0.7628  2 Ho 2.87, 1 Tb 2.89, 3 Ce 2.97-2.99

Entry 2:
Below is Na3HfMn after structural relaxation, with properties calculated at the PBE-GGA level.

Results
* calculated density: 3.515 g cm⁻³
* formation energy: 1.8054 eV per atom
* magnetic moment: 1.47 μB per cell
* space-group type: No. 221

Cell lengths 5.2276, 5.2276, 5.2276 Å; angles 90.00, 90.00, 90.00 degrees
Last column: nearest neighbours and their distance in Å.
Fractional coordinates of all 5 atoms:
Na: 0.0000 0.5000 0.0000  2 Mn 2.61
Hf: 0.5000 0.5000 0.5000  12 Na 3.70
Mn: 0.0000 0.0000 0.0000  6 Na 2.61
Na: 0.5000 0.0000 0.0000  2 Mn 2.61
Na: 0.0000 0.0000 0.5000  2 Mn 2.61

Entry 3:
Below is Ti2V2S7 after structural relaxation, with properties calculated at the PBE-GGA level.

Results
* energy relative to the elements, uncorrected: -0.91 eV/atom
* calculated density: 2.987 g cm⁻³
* magnetic moment: 2.26 μB per cell
* space-group type: No. 12

Cell lengths 6.3238, 6.3273, 6.3273 Å; angles 111.56, 92.72, 92.72 degrees
Last column: nearest neighbours and their distance in Å.
Fractional coordinates of all 11 atoms:
S: 0.3025 0.5906 0.9619  1 V 2.25, 1 Ti 2.44
S: 0.2336 0.4013 0.4013  2 V 2.39-2.49, 2 Ti 2.40
Ti: 0.5000 0.6546 0.3454  6 S 2.40-2.56
S: 0.6975 0.4094 0.0381  1 V 2.25, 1 Ti 2.44
V: 0.1275 0.7305 0.7305  4 S 2.14-2.39
V: 0.8725 0.2695 0.2695  4 S 2.14-2.39
S: 0.3025 0.9619 0.5906  1 V 2.25, 1 Ti 2.44
S: 0.6975 0.0381 0.4094  1 V 2.25, 1 Ti 2.44
S: 0.0000 0.0000 0.0000  2 V 2.14
S: 0.7664 0.5987 0.5987  2 V 2.39-2.49, 2 Ti 2.40
Ti: 0.5000 0.3454 0.6546  6 S 2.40-2.56

Entry 4:
Below is Tb2NdTe after structural relaxation, with properties calculated at the PBE-GGA level.

Results
* energy relative to the elements, uncorrected: -0.67 eV/atom
* calculated density: 8.001 g cm⁻³
* magnetic moment: 0.00 μB per cell
* space-group type: No. 63

Cell lengths 4.0036, 6.4471, 9.9753 Å; angles 90.00, 90.00, 108.07 degrees
Last column: nearest neighbours and their distance in Å.
Fractional coordinates of all 8 atoms:
Nd: 0.0557 0.1114 0.7500  3 Te 3.29-3.52, 4 Tb 3.61-3.62
Te: 0.7687 0.5377 0.7500  6 Tb 3.16-3.28, 3 Nd 3.29-3.52
Tb: 0.6364 0.2724 0.0351  3 Te 3.16-3.28, 3 Tb 3.41-3.50
Tb: 0.6364 0.2724 0.4649  3 Te 3.16-3.28, 3 Tb 3.41-3.50
Tb: 0.3636 0.7276 0.5351  3 Te 3.16-3.28, 3 Tb 3.41-3.50
Tb: 0.3636 0.7276 0.9649  3 Te 3.16-3.28, 3 Tb 3.41-3.50
Nd: 0.9443 0.8886 0.2500  3 Te 3.29-3.52, 4 Tb 3.61-3.62
Te: 0.2313 0.4623 0.2500  6 Tb 3.16-3.28, 3 Nd 3.29-3.52